The following is a PBE calculation of crystalline SrLi4Cd12 at its relaxed geometry, from Alexandria.

E_form ... 0.033 eV/atom

abc: 8.2362 8.2362 8.2362
angles: 109.47 109.47 109.47
Atoms (fractional coordinates):
1 Sr 0.0000 0.0000 0.0000
2 Li 0.0000 0.0000 0.5000
3 Li 0.0000 0.5000 0.0000
4 Li 0.5000 0.0000 0.0000
5 Li 0.5000 0.5000 0.5000
6 Cd 0.1578 0.5050 0.3472
7 Cd 0.1578 0.8106 0.6528
8 Cd 0.1894 0.3472 0.8422
9 Cd 0.3472 0.1578 0.5050
10 Cd 0.3472 0.8422 0.1894
11 Cd 0.4950 0.6528 0.8422
12 Cd 0.5050 0.3472 0.1578
13 Cd 0.6528 0.1578 0.8106
14 Cd 0.6528 0.8422 0.4950
15 Cd 0.8106 0.6528 0.1578
16 Cd 0.8422 0.1894 0.3472
17 Cd 0.8422 0.4950 0.6528


The following is a PBE calculation of crystalline CaNi12B4 at its relaxed geometry, from Alexandria.

E_form ... -0.048 eV/atom

abc: 6.2581 6.2581 6.2581
angles: 109.47 109.47 109.47
Atoms (fractional coordinates):
1 Ca 0.0000 0.0000 0.0000
2 Ni 0.1517 0.3338 0.8180
3 Ni 0.1820 0.5158 0.3338
4 Ni 0.1820 0.8483 0.6662
5 Ni 0.3338 0.1820 0.5158
6 Ni 0.3338 0.8180 0.1517
7 Ni 0.4842 0.6662 0.8180
8 Ni 0.5158 0.3338 0.1820
9 Ni 0.6662 0.1820 0.8483
10 Ni 0.6662 0.8180 0.4842
11 Ni 0.8180 0.1517 0.3338
12 Ni 0.8180 0.4842 0.6662
13 Ni 0.8483 0.6662 0.1820
14 B 0.0000 0.0000 0.5000
15 B 0.0000 0.5000 0.0000
16 B 0.5000 0.0000 0.0000
17 B 0.5000 0.5000 0.5000


The following is a PBE calculation of crystalline CaCdBr2 at its relaxed geometry, from Alexandria.

Uncorrected formation energy ... -3.857 eV/f.u.
Excess energy over the best structure of this formula in the dataset ... 411 meV per atom

abc: 6.3298 6.3298 6.3298
angles: 137.53 137.53 61.62
Atoms (fractional coordinates):
1 Ca 0.0000 0.0000 0.0000
2 Cd 0.2500 0.7500 0.5000
3 Br 0.5000 0.5000 0.0000
4 Br 0.7500 0.2500 0.5000


The following is a PBE calculation of crystalline ReNiRu at its relaxed geometry, from Alexandria.

Excess energy over the best structure of this formula in the dataset ... 41 meV per atom
E_form ... 0.028 eV/atom

abc: 5.0588 5.0588 6.2711
angles: 103.82 103.82 31.18
Atoms (fractional coordinates):
1 Re 0.0000 0.0000 0.0000
2 Re 0.6172 0.6172 0.7165
3 Ni 0.3370 0.3370 0.6644
4 Ni 0.9451 0.9451 0.3976
5 Ru 0.2805 0.2805 0.0567
6 Ru 0.6628 0.6628 0.3286


The following is a PBE calculation of crystalline Y4HgAu2 at its relaxed geometry, from Alexandria.

Excess energy over the best structure of this formula in the dataset ... 117 meV per atom
E_form ... -0.459 eV/atom

abc: 10.0865 10.0865 10.0865
angles: 27.91 27.91 27.91
Atoms (fractional coordinates):
1 Y 0.1172 0.1172 0.1172
2 Y 0.2974 0.2974 0.2974
3 Y 0.7026 0.7026 0.7026
4 Y 0.8828 0.8828 0.8828
5 Hg 0.5000 0.5000 0.5000
6 Au 0.3993 0.3993 0.3993
7 Au 0.6007 0.6007 0.6007


The following is a PBE calculation of crystalline KBaSnPd2 at its relaxed geometry, from Alexandria.

E_form ... 0.751 eV/atom

abc: 5.2477 5.2477 5.8777
angles: 90.00 90.00 90.00
Atoms (fractional coordinates):
1 K 0.0000 0.0000 0.0000
2 Ba 0.0000 0.0000 0.5000
3 Sn 0.5000 0.5000 0.5000
4 Pd 0.0000 0.5000 0.0000
5 Pd 0.5000 0.0000 0.0000


The following is a PBE calculation of crystalline Ac3Tm2Tl3 at its relaxed geometry, from Alexandria.

E_form ... -0.234 eV/atom

abc: 12.4163 12.4163 12.4163
angles: 161.50 153.24 32.73
Atoms (fractional coordinates):
1 Ac 0.0000 0.0000 0.0000
2 Ac 0.3747 0.8747 0.5000
3 Ac 0.6253 0.1253 0.5000
4 Tm 0.2368 0.2368 0.0000
5 Tm 0.7632 0.7632 0.0000
6 Tl 0.1322 0.6322 0.5000
7 Tl 0.5000 0.5000 0.0000
8 Tl 0.8678 0.3678 0.5000


The following is a PBE calculation of crystalline Ce2TaAl3 at its relaxed geometry, from Alexandria.

E_form ... -0.307 eV/atom

abc: 5.6910 5.6910 5.6910
angles: 58.50 58.50 58.50
Atoms (fractional coordinates):
1 Ce 0.1327 0.1327 0.1327
2 Ce 0.8673 0.8673 0.8673
3 Ta 0.5000 0.5000 0.5000
4 Al 0.0000 0.5000 0.5000
5 Al 0.5000 0.0000 0.5000
6 Al 0.5000 0.5000 0.0000


It is found that the V values, taken in the order of the records, are 430.10; 188.68; 114.29; 80.50; 198.50; 161.86; 273.19; 125.85 Å³/cell.
It is found that the total magnetization values, taken in the order of the records, are 0.00; 0.00; 0.00; 0.00; 0.00; 0.00; 0.00; 0.00 μB per cell.
It is found that the E_tot values, taken in the order of the records, are -1.162; -5.817; -2.530; -9.140; -5.132; -2.731; -3.780; -6.131 eV per atom.